Here is a relaxed structure of BaMo2W from the Alexandria database. Energies are from PBE.

Results
magnetization: 0.00 μB/f.u.
E above lowest polymorph: 693.5 meV/atom
calculated density: 7455 kg/m3

The structure in POSCAR format:
```
BaMo2W
1.0
5.116 0.000 0.000
0.000 5.116 0.000
2.558 2.558 8.734
W Ba Mo
2 2 4
Cartesian
0.000 0.000 0.000
5.116 2.558 4.367
2.558 2.558 0.000
2.558 5.116 4.367
3.837 2.559 6.551
6.394 2.556 6.551
5.117 3.837 2.184
5.114 1.279 2.184
```

***

Here is a relaxed structure of Ba2MoW from the Alexandria database. Energies are from PBE.

Results
magnetization: 0.17 μB/f.u.
E above lowest polymorph: 987.9 meV/atom
calculated density: 9098 kg/m3

The structure in POSCAR format:
```
Ba2MoW
1.0
-4.564 -3.806 0.177
-3.370 -3.931 2.921
-3.416 4.473 1.691
Ba Mo W
2 1 1
Cartesian
-5.713 -1.664 2.410
-11.312 -3.232 4.774
-8.512 -2.448 3.592
-2.837 -0.816 1.197
```

***

Here is a relaxed structure of BaMo2W from the Alexandria database. Energies are from PBE.

Results
magnetization: 0.00 μB/f.u.
E above lowest polymorph: 513.0 meV/atom
calculated density: 9696 kg/m3

The structure in POSCAR format:
```
BaMo2W
1.0
6.047 -0.011 0.003
2.594 5.463 -0.003
-3.337 -4.285 2.659
Mo W Ba
2 1 1
Cartesian
0.370 0.233 0.000
3.951 2.493 0.000
1.789 1.952 1.328
3.515 -0.785 1.331
```

***

Here is a relaxed structure of BaMo2W from the Alexandria database. Energies are from PBE.

Results
magnetization: 0.00 μB/f.u.
E above lowest polymorph: 40.1 meV/atom
calculated density: 9146 kg/m3

The structure in POSCAR format:
```
BaMo2W
1.0
3.419 0.000 0.000
0.000 3.423 0.000
0.000 0.000 7.958
Mo W Ba
2 1 1
Cartesian
1.710 1.712 1.993
0.000 0.000 0.775
0.000 0.000 3.208
1.710 1.712 5.961
```

***

Here is a relaxed structure of BaMo2W from the Alexandria database. Energies are from PBE.

Results
magnetization: 0.00 μB/f.u.
E above lowest polymorph: 534.7 meV/atom
calculated density: 10070 kg/m3

The structure in POSCAR format:
```
BaMo2W
1.0
-5.066 -2.234 2.312
-3.568 -3.074 -3.717
5.180 0.654 2.957
W Mo Ba
1 2 1
Cartesian
-3.975 -2.444 -0.647
-0.329 -0.202 -0.054
-1.360 -2.541 -0.732
-2.108 -2.120 2.283
```

***

Here is a relaxed structure of BaMoW from the Alexandria database. Energies are from PBE.

Results
magnetization: 0.27 μB/f.u.
E above lowest polymorph: 2041.5 meV/atom
calculated density: 8888 kg/m3

The structure in POSCAR format:
```
BaMoW
1.0
4.794 0.000 0.000
2.397 4.152 0.000
2.397 1.384 3.915
Mo Ba W
1 1 1
Cartesian
0.000 0.000 0.000
7.192 4.152 2.936
4.794 2.768 1.957
```

***

no.,density of states at the Fermi level (states/eV per cell),energy of formation from the pure elements (eV/atom)
1,13.02,1.4696
2,4.23,1.7273
3,5.56,1.2890
4,4.76,0.8162
5,5.77,1.3107
6,4.26,2.9037